Pu2MnZn16, optimized geometry, DFT PBE-GGA; E_form = -113 meV/atom
1.0
4.486 2.590 4.440
-4.486 2.590 4.440
0.000 -5.180 4.440
Pu Mn Zn
2 1 16
direct
0.000 0.000 0.000
0.323 0.323 0.323
0.565 0.565 0.565
0.015 0.015 0.499
0.015 0.499 0.015
0.163 0.659 0.659
0.308 0.308 0.811
0.308 0.811 0.308
0.367 0.660 0.952
0.367 0.952 0.660
0.499 0.015 0.015
0.659 0.163 0.659
0.659 0.659 0.163
0.660 0.367 0.952
0.660 0.952 0.367
0.766 0.766 0.766
0.811 0.308 0.308
0.952 0.367 0.660
0.952 0.660 0.367

TiP2Se, optimized geometry, DFT PBE-GGA; ΔE_f (raw) = 0.6 eV per formula unit
1.0
-2.829 2.829 5.817
2.829 -2.829 5.817
2.829 2.829 -5.817
Ti P Se
2 4 2
direct
0.000 0.000 0.000
0.750 0.250 0.500
0.100 0.625 0.975
0.375 0.350 0.475
0.650 0.125 0.025
0.875 0.900 0.525
0.250 0.750 0.500
0.500 0.500 0.000

NaBeH2, optimized geometry, DFT PBE-GGA; excess energy over the best structure of this formula in the dataset = 11.60 kcal/mol of atoms
1.0
0.000 2.692 2.692
2.692 0.000 2.692
2.692 2.692 0.000
Na Be H
1 1 2
direct
0.000 0.000 0.000
0.500 0.500 0.500
0.250 0.250 0.250
0.750 0.750 0.750

PSeBr2Cl, optimized geometry, DFT PBE-GGA; ΔE_f (raw) = 1.8 eV per formula unit; excess energy over the best structure of this formula in the dataset = 0.00 kcal/mol of atoms
1.0
4.996 0.000 0.000
0.000 4.996 0.000
0.000 0.000 5.118
P Se Br Cl
1 1 2 1
direct
0.000 0.000 0.000
0.000 0.000 0.500
0.000 0.500 0.000
0.500 0.000 0.000
0.500 0.500 0.500

Cd3W, optimized geometry, DFT PBE-GGA; excess energy over the best structure of this formula in the dataset = 0.92 kcal/mol of atoms; E_form = 424 meV/atom
1.0
1.486 0.858 10.366
-1.486 0.858 10.366
0.000 -1.716 10.366
Cd W
3 1
direct
0.000 0.000 0.000
0.244 0.244 0.244
0.756 0.756 0.756
0.500 0.500 0.500

Zn6Ag7, optimized geometry, DFT PBE-GGA; E_form = 105 meV/atom
1.0
2.792 1.612 8.726
-2.792 1.612 8.726
0.000 -3.224 8.726
Zn Ag
6 7
direct
0.051 0.051 0.051
0.156 0.156 0.156
0.334 0.334 0.334
0.666 0.666 0.666
0.844 0.844 0.844
0.949 0.949 0.949
0.078 0.585 0.585
0.415 0.415 0.922
0.415 0.922 0.415
0.500 0.500 0.500
0.585 0.078 0.585
0.585 0.585 0.078
0.922 0.415 0.415

These records have magnetization values of 3.8 0.0 0.0 1.5 0.0 0.0 μB per cell, in the order they appear.